Record 1
Compound: CaNb2TcSn
Source: the Alexandria database
Functional: PBE-GGA
Structure: optimized geometry

POSCAR file:
```
CaNb2TcSn
1.0
5.0828 0.0000 0.0000
0.0000 5.2951 0.0000
0.0000 0.0000 5.0828
Sn Nb Ca Tc
1 2 1 1
Direct
0.0000 0.0000 0.0000
0.0000 0.0000 0.5000
0.5000 0.0000 0.0000
0.0000 0.5000 0.0000
0.5000 0.5000 0.5000
```

Space group = No. 123
N(E_F) = 1.8579 states/eV/atom
Total moment = 0.1 μB/f.u.
VASP energy = -5.390 eV per atom

Record 2
Compound: KHgPt
Source: the Alexandria database
Functional: PBE-GGA
Structure: optimized geometry

POSCAR file:
```
KHgPt
1.0
6.4540 -0.0145 0.0000
4.2035 4.8975 0.0000
-5.3287 -2.4415 2.7015
Hg Pt K
1 1 1
Direct
0.0651 0.0651 0.0000
0.6014 0.6014 0.0000
0.3335 0.3335 0.0000
```

Space group = No. 107
N(E_F) = 0.4083 states/eV/atom
Total moment = 0.0 μB/f.u.
VASP energy = -2.542 eV per atom

Record 3
Compound: TbUC
Source: the Alexandria database
Functional: PBE-GGA
Structure: optimized geometry

POSCAR file:
```
TbUC
1.0
6.2159 0.0000 0.0000
0.0000 3.3914 0.0000
0.0000 -1.6957 2.9370
C U Tb
1 1 1
Direct
0.0132 0.0000 0.0000
0.2240 0.6667 0.3333
0.7628 0.3333 0.6667
```

Space group = No. 156
N(E_F) = 1.6500 states/eV/atom
Total moment = 2.1 μB/f.u.
VASP energy = -8.377 eV per atom